Material: AcZrOs
Method: DFT, PBE-GGA
State: relaxed

abc: 4.786 4.786 4.786
angles: 60.00 60.00 60.00
Positions (direct):
Os (0.250, 0.250, 0.250)
Zr (0.750, 0.750, 0.750)
Ac (0.000, 0.000, 0.000)

Values from the calculation:
formation enthalpy at 0 K	1.280	eV/atom
crystal system	cubic